1.
Computed, not measured: a relaxed structure of SrCd2Pd at the GGA-PBE level of DFT.

Cell and atoms, written as extended XYZ:
```
8
Lattice="-0.5911 -3.5013 2.5638 0.1912 -2.6059 -3.5148 10.6783 -3.9631 0.7905" Properties=species:S:1:pos:R:3 pbc="T T T"
Sr -0.2000 -3.0536 -0.4755
Sr 5.3348 -4.8113 -1.5999
Pd 0.0000 0.0000 0.0000
Pd 4.9436 -5.2590 1.4394
Cd 2.2990 -3.6532 1.4693
Cd 2.7402 -2.9088 -1.7873
Cd 7.8506 -5.1521 0.3852
Cd 7.6669 -8.4265 -0.3882
```

Formation energy: -0.18 eV/atom
Magnetization: 0.000 μB/atom
Space-group type: I-42d (122)


2.
Computed, not measured: a relaxed structure of Si2TeP at the GGA-PBE level of DFT.

Cell and atoms, written as extended XYZ:
```
4
Lattice="4.6702 -0.0026 -0.0008 -1.5747 4.3967 -0.0008 1.5510 2.2016 3.8217" Properties=species:S:1:pos:R:3 pbc="T T T"
P -0.0119 3.2991 1.9104
Si 0.0000 0.0000 0.0000
Si 1.5477 2.1970 -0.0008
Te 3.1106 1.0995 1.9104
```

Raw formation energy: 0.329 eV/atom
Energy above the most stable polymorph in this dataset: 0.157 eV per atom
Magnetization: 0.000 μB/atom
Space-group type: I4/mmm (139)


3.
Computed, not measured: a relaxed structure of Tl3AuSe4 at the GGA-PBE level of DFT.

Cell and atoms, written as extended XYZ:
```
8
Lattice="-3.6488 -5.1561 -1.1221 1.1826 -2.1286 5.9354 -4.0194 6.8790 -0.1993" Properties=species:S:1:pos:R:3 pbc="T T T"
Tl -1.2331 -3.6424 2.4066
Tl -4.4506 -0.9598 0.5426
Tl -2.0349 0.5540 4.0713
Au 0.0000 0.0000 0.0000
Se -1.8618 -0.8590 1.6430
Se -3.2040 -4.8238 4.2627
Se -2.6379 3.2595 3.5816
Se -5.2675 1.6118 -0.2595
```

Raw formation energy: -0.140 eV/atom
Magnetization: 0.000 μB/atom
Space-group type: I-42m (121)


4.
Computed, not measured: a relaxed structure of Sc4Bi3H4 at the GGA-PBE level of DFT.

Cell and atoms, written as extended XYZ:
```
11
Lattice="-0.9735 3.1419 -0.5638 -5.8226 -0.7367 5.9484 8.2476 1.2054 2.3529" Properties=species:S:1:pos:R:3 pbc="T T T"
Sc -1.0429 0.5594 4.9180
Sc 2.4944 3.0512 2.8195
Sc -5.0461 0.9941 4.3759
Sc -1.7500 1.4111 1.0086
Bi 1.2551 0.6232 1.3057
Bi 0.1963 2.9874 6.4317
Bi -2.9113 -0.3683 2.9742
H 4.1331 1.7542 2.6389
H -1.0706 2.0603 3.4527
H -2.6817 1.8564 5.0986
H 2.5220 1.5504 4.2848
```

E: -4.938 eV/atom
Magnetization: 0.000 μB/atom
Space-group type: Immm (71)


5.
Computed, not measured: a relaxed structure of PmNd8Ho6 at the GGA-PBE level of DFT.

Cell and atoms, written as extended XYZ:
```
15
Lattice="-6.5226 -6.3744 1.8433 -4.7585 -3.9346 -6.9607 0.9177 -8.3455 -2.1289" Properties=species:S:1:pos:R:3 pbc="T T T"
Pm 0.0000 0.0000 0.0000
Nd -2.7837 -7.3998 -2.0811
Nd -5.0114 -9.2363 -0.1871
Nd -3.2895 -7.1386 -5.4868
Nd -6.2107 -8.2474 -3.5301
Nd -4.1527 -10.4071 -3.7162
Nd -7.0740 -11.5158 -1.7595
Nd -5.3520 -9.4182 -7.0592
Nd -7.5798 -11.2547 -5.1652
Ho -6.3211 -14.0458 -7.3424
Ho -1.8703 -2.3769 -1.7817
Ho -4.2517 -4.4953 -3.5328
Ho -6.1118 -14.1591 -3.7136
Ho -8.4932 -16.2775 -5.4646
Ho -4.0424 -4.6087 0.0961
```

Energy above the most stable polymorph in this dataset: 0.000 eV per atom
Formation energy: 0.16 eV/atom
Magnetization: 0.000 μB/atom
Space-group type: R-3 (148)


6.
Computed, not measured: a relaxed structure of CuAgHRh2 at the GGA-PBE level of DFT.

Cell and atoms, written as extended XYZ:
```
5
Lattice="3.8515 0.0000 0.0000 0.0000 3.8515 0.0000 0.0000 0.0000 4.1899" Properties=species:S:1:pos:R:3 pbc="T T T"
H 0.0000 0.0000 0.0000
Rh 0.0000 1.9258 0.0000
Rh 1.9258 0.0000 0.0000
Cu 1.9258 1.9258 2.0950
Ag 0.0000 0.0000 2.0950
```

Energy above the most stable polymorph in this dataset: 0.035 eV per atom
Magnetization: 0.201 μB/atom
Space-group type: P4/mmm (123)


7.
Computed, not measured: a relaxed structure of NbO2F at the GGA-PBE level of DFT.

Cell and atoms, written as extended XYZ:
```
8
Lattice="6.0478 0.0000 0.0000 0.0000 6.0478 0.0000 3.0239 3.0239 4.3778" Properties=species:S:1:pos:R:3 pbc="T T T"
Nb 0.0000 0.0000 0.0000
Nb 6.0478 3.0239 2.1889
O 6.0441 1.5119 1.0945
O 6.0515 4.5358 1.0945
O 4.5358 3.0276 3.2834
O 7.5597 3.0202 3.2834
F 3.0239 3.0239 0.0000
F 3.0239 6.0478 2.1889
```

Raw formation energy: -2.022 eV/atom
Magnetization: 0.033 μB/atom
Space-group type: I4_1/amd (141)


8.
Computed, not measured: a relaxed structure of YScZn10 at the GGA-PBE level of DFT.

Cell and atoms, written as extended XYZ:
```
12
Lattice="4.2090 0.0000 0.0000 0.0000 5.2521 0.0000 0.0000 0.0000 9.0665" Properties=species:S:1:pos:R:3 pbc="T T T"
Y 0.0000 0.0000 0.0000
Sc 0.0000 2.6261 4.5332
Zn 0.0000 0.0000 3.0887
Zn 0.0000 2.6261 7.4870
Zn 0.0000 2.6261 1.5795
Zn 0.0000 0.0000 5.9778
Zn 2.1045 0.0000 4.5332
Zn 2.1045 2.6261 0.0000
Zn 2.1045 1.3144 2.2827
Zn 2.1045 3.9377 6.7837
Zn 2.1045 3.9377 2.2827
Zn 2.1045 1.3144 6.7837
```

Formation energy: -0.24 eV/atom
Magnetization: 0.000 μB/atom
Space-group type: Pmmm (47)


9.
Computed, not measured: a relaxed structure of Tb5YEr2In at the GGA-PBE level of DFT.

Cell and atoms, written as extended XYZ:
```
18
Lattice="5.3702 0.0000 0.0000 -2.6851 9.9555 0.0000 0.0000 0.0000 10.5999" Properties=species:S:1:pos:R:3 pbc="T T T"
Tb 0.0000 7.6299 0.0873
Tb 2.6851 4.1777 8.5545
Tb 0.0000 9.9545 8.0351
Tb 0.0000 5.7850 7.5225
Tb 2.6851 9.6933 5.3878
Tb 2.6851 2.3255 5.3872
Tb 0.0000 5.7778 3.2546
Tb 2.6851 0.0010 2.7351
Tb 2.6851 4.1705 2.2225
Tb 0.0000 0.2622 0.0878
Y 2.6851 5.8584 5.3887
Y 0.0000 4.0971 0.0887
Er 2.6851 7.6521 8.4927
Er 0.0000 2.3073 7.5825
Er 0.0000 2.3034 3.1927
Er 2.6851 7.6482 2.2825
In 2.6851 1.8936 0.0828
In 0.0000 8.0619 5.3828
```

Formation energy: 0.00 eV/atom
Magnetization: 0.000 μB/atom
Space-group type: Cmc2_1 (36)


10.
Computed, not measured: a relaxed structure of GaTcB2Au at the GGA-PBE level of DFT.

Cell and atoms, written as extended XYZ:
```
5
Lattice="-2.5755 -2.7231 -1.4372 -1.4561 -1.2672 5.0102 -2.8803 2.7931 -0.1306" Properties=species:S:1:pos:R:3 pbc="T T T"
B -1.4401 1.3965 -0.0653
B -1.2878 -1.3616 -0.7186
Au -0.7280 -0.6336 2.5051
Tc 0.0000 0.0000 0.0000
Ga -3.4559 -0.5986 1.7211
```

Energy above the most stable polymorph in this dataset: 0.000 eV per atom
Formation energy: 0.93 eV/atom
Magnetization: 0.000 μB/atom
Space-group type: P4/mmm (123)


11.
Computed, not measured: a relaxed structure of PmEr3Rh4 at the GGA-PBE level of DFT.

Cell and atoms, written as extended XYZ:
```
16
Lattice="-1.1567 2.4645 3.9365 -1.8114 -5.9761 3.2093 8.9556 -0.9739 3.2411" Properties=species:S:1:pos:R:3 pbc="T T T"
Er 0.0000 0.0000 0.0000
Er 4.4778 -0.4870 1.6206
Er 6.1386 0.5015 4.3986
Er 1.6604 0.9891 2.7790
Er 5.2328 -2.4864 6.0035
Er 0.7548 -1.9991 4.3834
Rh -1.9486 -3.2885 4.3960
Rh 2.5293 -3.7755 6.0165
Rh -1.0194 -0.2231 2.7498
Rh 3.4584 -0.7101 4.3704
Rh 4.1901 -2.7873 8.7943
Rh 0.8684 -4.7638 3.2389
Rh 1.7976 -1.6983 1.5926
Rh 5.1192 0.2783 7.1481
Pm -0.9057 -2.9881 1.6046
Pm 3.5721 -3.4750 3.2252
```

Formation energy: -0.86 eV/atom
Magnetization: 0.000 μB/atom
Space-group type: P4/mmm (123)


12.
Computed, not measured: a relaxed structure of LiIn2Ni9 at the GGA-PBE level of DFT.

Cell and atoms, written as extended XYZ:
```
12
Lattice="-1.3209 4.2030 -1.9872 -2.6683 0.0350 -4.0296 -7.9381 1.4047 2.3703" Properties=species:S:1:pos:R:3 pbc="T T T"
Li 0.0000 0.0000 0.0000
In -6.6840 4.2347 -4.2324
In -5.2433 1.4080 0.5859
Ni -2.6663 2.8253 -4.0067
Ni -9.2611 2.8174 0.3602
Ni -5.9637 2.8213 -1.8232
Ni -3.6302 2.1120 -1.9151
Ni -4.2953 4.2284 -2.9158
Ni -4.9738 2.1296 -3.9442
Ni -8.2972 3.5307 -1.7313
Ni -6.9535 3.5131 0.2977
Ni -7.6320 1.4143 -0.7307
```

Formation energy: 0.01 eV/atom
Magnetization: 0.313 μB/atom
Space-group type: R-3m (166)